A relaxed KRbSrBi crystal, computed with PBE.

**Crystal system**: cubic
**Formation energy from the elements**: -0.236 eV per atom

Geometry as extended XYZ:
```
4
Lattice="0.0000 4.4643 4.4643 4.4643 0.0000 4.4643 4.4643 4.4643 0.0000" Properties=species:S:1:pos:R:3 pbc="T T T"
K 0.0000 0.0000 0.0000
Rb 6.6965 6.6965 6.6965
Sr 4.4643 4.4643 4.4643
Bi 2.2322 2.2322 2.2322
```